# 1
A plane-wave DFT calculation with PBE was carried out for Be2FeHg after structural relaxation.

Cell: 4.1730 4.1730 4.1730 Å, 60.00 60.00 60.00°
With the nearest neighbours (Å) after each atom.
Fractional coordinates of all 4 atoms:
Be 0.0000 0.0000 0.0000  4 Hg 2.56, 4 Be 2.56
Be 0.2500 0.2500 0.2500  4 Fe 2.56, 4 Be 2.56
Hg 0.7500 0.7500 0.7500  4 Fe 2.56, 4 Be 2.56
Fe 0.5000 0.5000 0.5000  4 Hg 2.56, 4 Be 2.56

Values from the calculation:
- ΔE_f (meV/atom) = 521
- crystal system = cubic
- total energy (eV/atom) = -3.5330


# 2
A plane-wave DFT calculation with PBE was carried out for ZrTi2Al after structural relaxation.

Cell: 3.2958 3.2958 6.7303 Å, 90.00 90.00 90.00°
With the nearest neighbours (Å) after each atom.
Fractional coordinates of all 4 atoms:
Al 0.5000 0.5000 0.0000  8 Ti 2.80
Zr 0.5000 0.5000 0.5000  8 Ti 2.95, 4 Zr 3.30
Ti 0.0000 0.0000 0.7697  4 Al 2.80, 4 Zr 2.95, 1 Ti 3.10
Ti 0.0000 0.0000 0.2303  4 Al 2.80, 4 Zr 2.95, 1 Ti 3.10

Values from the calculation:
- ΔE_f (meV/atom) = -131
- crystal system = tetragonal
- total energy (eV/atom) = -7.1509


# 3
A plane-wave DFT calculation with PBE was carried out for V2IrCl2 after structural relaxation.

Cell: 4.1606 4.1606 5.3236 Å, 67.00 67.00 90.00°
With the nearest neighbours (Å) after each atom.
Fractional coordinates of all 5 atoms:
V 0.7500 0.2500 0.5000  4 Cl 2.28
V 0.2500 0.7500 0.5000  4 Cl 2.28
Ir 0.0000 0.0000 0.0000  8 V 3.04, 10 Cl 3.15-3.21
Cl 0.3554 0.3554 0.2892  4 V 2.28
Cl 0.6446 0.6446 0.7108  4 V 2.28

Values from the calculation:
- ΔE to the lowest computed polymorph (kJ per mole of atoms) = 0.0
- energy relative to the elements, uncorrected (meV/atom) = 408
- crystal system = tetragonal
- total energy (eV/atom) = -5.7502


# 4
A plane-wave DFT calculation with PBE was carried out for TeSe2I2 after structural relaxation.

Cell: 7.9487 7.9487 5.6098 Å, 90.00 90.00 90.00°
With the nearest neighbours (Å) after each atom.
Fractional coordinates of all 10 atoms:
I 0.1808 0.6808 0.5000  2 Se 2.83
I 0.6808 0.8192 0.5000  2 Se 2.83
I 0.8192 0.3192 0.5000  2 Se 2.83
I 0.3192 0.1808 0.5000  2 Se 2.83
Te 0.0000 0.0000 0.0000  4 Se 2.84
Te 0.5000 0.5000 0.0000  4 Se 2.84
Se 0.2149 0.7149 0.0000  2 I 2.83, 2 Te 2.84
Se 0.7149 0.7851 0.0000  2 I 2.83, 2 Te 2.84
Se 0.7851 0.2851 0.0000  2 I 2.83, 2 Te 2.84
Se 0.2851 0.2149 0.0000  2 I 2.83, 2 Te 2.84

Values from the calculation:
- ΔE to the lowest computed polymorph (kJ per mole of atoms) = 7.4
- energy relative to the elements, uncorrected (meV/atom) = 178
- crystal system = tetragonal
- total energy (eV/atom) = -2.4646


# 5
A plane-wave DFT calculation with PBE was carried out for Pm6SnTe3Se2 after structural relaxation.

Cell: 4.3651 8.8336 9.8729 Å, 104.12 102.77 90.00°
With the nearest neighbours (Å) after each atom.
Fractional coordinates of all 12 atoms:
Pm 0.3348 0.8975 0.6696  2 Se 2.99, 1 Sn 3.08, 3 Te 3.17-3.24
Pm 0.6740 0.5677 0.3481  3 Se 2.96-2.98, 3 Te 3.23-3.25
Pm 0.6652 0.1025 0.3304  2 Se 2.99, 1 Sn 3.08, 3 Te 3.17-3.24
Pm 0.0071 0.2473 0.0142  1 Se 2.99, 2 Sn 3.07, 3 Te 3.15-3.21
Pm 0.9929 0.7527 0.9858  1 Se 2.99, 2 Sn 3.07, 3 Te 3.15-3.21
Pm 0.3260 0.4323 0.6519  3 Se 2.96-2.98, 3 Te 3.23-3.25
Sn 0.5000 0.0000 0.0000  6 Pm 3.07-3.08
Te 0.5000 0.5000 0.0000  6 Pm 3.15-3.25
Te 0.8350 0.1684 0.6700  6 Pm 3.17-3.24
Te 0.1650 0.8316 0.3300  6 Pm 3.17-3.24
Se 0.8327 0.6659 0.6654  6 Pm 2.96-2.99
Se 0.1673 0.3341 0.3346  6 Pm 2.96-2.99

Values from the calculation:
- energy relative to the elements, uncorrected (meV/atom) = -1467
- crystal system = monoclinic
- total energy (eV/atom) = -5.5417


# 6
A plane-wave DFT calculation with PBE was carried out for LuThTc4 after structural relaxation.

Cell: 5.4373 5.4373 5.4373 Å, 60.00 60.00 60.00°
With the nearest neighbours (Å) after each atom.
Fractional coordinates of all 6 atoms:
Lu 0.0000 0.0000 0.0000  12 Tc 3.19, 4 Th 3.33
Tc 0.6253 0.6253 0.1241  6 Tc 2.71-2.73
Tc 0.6253 0.1241 0.6253  6 Tc 2.71-2.73
Tc 0.6253 0.6253 0.6253  6 Tc 2.71-2.73
Tc 0.1241 0.6253 0.6253  6 Tc 2.71-2.73
Th 0.2500 0.2500 0.2500  12 Tc 3.19, 4 Lu 3.33

Values from the calculation:
- ΔE_f (meV/atom) = -118
- crystal system = cubic
- total energy (eV/atom) = -9.0190


Mass density / g cm⁻³: 8.87 4.86 7.89 5.05 7.06 11.67
Magnetic moment / μB per formula unit: 2.107 0.000 0.000 0.000 0.000 0.001